{
  "formula": "Pu2InGa2Rh5",
  "functional": "PBE",
  "state": "relaxed",
  "total_energy_ha_per_atom": -0.2927,
  "dos_ef_per_ev_cell": 57.057,
  "delta_e_f_ev_per_fu": -5.4,
  "spacegroup": "P4/mbm (127)",
  "lattice_angstrom": [[9.8134, 0.0000, 0.0000], [0.0000, 9.8134, 0.0000], [0.0000, 0.0000, 3.6556]],
  "species": ["Pu", "Pu", "Pu", "Pu", "In", "In", "Ga", "Ga", "Ga", "Ga", "Rh", "Rh", "Rh", "Rh", "Rh", "Rh", "Rh", "Rh", "Rh", "Rh"],
  "frac_coords": [[0.1751, 0.3249, 0.0000], [0.3249, 0.8249, 0.0000], [0.6751, 0.1751, 0.0000], [0.8249, 0.6751, 0.0000], [0.0000, 0.0000, 0.0000], [0.5000, 0.5000, 0.0000], [0.1224, 0.6224, 0.0000], [0.3776, 0.1224, 0.0000], [0.6224, 0.8776, 0.0000], [0.8776, 0.3776, 0.0000], [0.0000, 0.5000, 0.5000], [0.0713, 0.7924, 0.5000], [0.2076, 0.0713, 0.5000], [0.2924, 0.5713, 0.5000], [0.4287, 0.2924, 0.5000], [0.5000, 0.0000, 0.5000], [0.5713, 0.7076, 0.5000], [0.7076, 0.4287, 0.5000], [0.7924, 0.9287, 0.5000], [0.9287, 0.2076, 0.5000]]
}


{
  "formula": "SmPuInGa",
  "functional": "PBE",
  "state": "relaxed",
  "total_energy_ha_per_atom": -0.2389,
  "dos_ef_per_ev_cell": 8.649,
  "delta_e_f_ev_per_fu": -1.2,
  "spacegroup": "F-43m (216)",
  "lattice_angstrom": [[0.0000, 3.7303, 3.7303], [3.7303, 0.0000, 3.7303], [3.7303, 3.7303, 0.0000]],
  "species": ["Sm", "Pu", "In", "Ga"],
  "frac_coords": [[0.0000, 0.0000, 0.0000], [0.5000, 0.5000, 0.5000], [0.7500, 0.7500, 0.7500], [0.2500, 0.2500, 0.2500]]
}